An optimized crystal structure of CeAlZnCu6, computed with PBE.

Properties
**Total magnetization**: 1.95 μB per cell
**Fermi-level density of states**: 8.49 states/eV/f.u.
**Total energy**: -33.98 eV per formula unit

Unit cell a=7.4106 b=7.4106 c=7.4106 alpha=125.22 beta=105.45 gamma=99.03
Atoms (fractional coordinates):
Ce: 0.4757 0.2257 0.2500
Ce: 0.5243 0.7743 0.7500
Al: 0.0000 0.0000 0.0000
Al: 0.5000 0.0000 0.5000
Zn: 0.0000 0.0000 0.5000
Zn: 0.0000 0.5000 0.0000
Cu: 0.1181 0.4432 0.3080
Cu: 0.1181 0.8101 0.6749
Cu: 0.1747 0.9247 0.2500
Cu: 0.2153 0.4653 0.7500
Cu: 0.3647 0.1899 0.8080
Cu: 0.3647 0.5568 0.1749
Cu: 0.6353 0.4432 0.8251
Cu: 0.6353 0.8101 0.1920
Cu: 0.7847 0.5347 0.2500
Cu: 0.8253 0.0753 0.7500
Cu: 0.8819 0.1899 0.3251
Cu: 0.8819 0.5568 0.6920

=====

An optimized crystal structure of Rb2BaNaHg, computed with PBE.

Properties
**Total magnetization**: 0.00 μB per cell
**Fermi-level density of states**: 3.60 states/eV/f.u.
**Total energy**: -5.55 eV per formula unit

Unit cell a=6.9207 b=6.9207 c=6.7486 alpha=90.00 beta=90.00 gamma=90.00
Atoms (fractional coordinates):
Rb: 0.0000 0.5000 0.0000
Rb: 0.5000 0.0000 0.0000
Ba: 0.0000 0.0000 0.5000
Na: 0.5000 0.5000 0.5000
Hg: 0.0000 0.0000 0.0000

=====

An optimized crystal structure of Ce6IrPt, computed with PBE.

Properties
**Total magnetization**: 0.90 μB per cell
**Fermi-level density of states**: 18.30 states/eV/f.u.
**Total energy**: -53.50 eV per formula unit

Unit cell a=6.9724 b=6.9724 c=8.0960 alpha=124.98 beta=124.98 gamma=43.09
Atoms (fractional coordinates):
Ce: 0.1161 0.1161 0.4555
Ce: 0.2568 0.2568 0.1447
Ce: 0.3816 0.3816 0.7168
Ce: 0.6184 0.6184 0.2832
Ce: 0.7432 0.7432 0.8553
Ce: 0.8839 0.8839 0.5445
Ir: 0.5000 0.5000 0.5000
Pt: 0.0000 0.0000 0.0000

=====

Copy entry 3 word for word.
An optimized crystal structure of Ce6IrPt, computed with PBE.

Properties
**Total magnetization**: 0.90 μB per cell
**Fermi-level density of states**: 18.30 states/eV/f.u.
**Total energy**: -53.50 eV per formula unit

Unit cell a=6.9724 b=6.9724 c=8.0960 alpha=124.98 beta=124.98 gamma=43.09
Atoms (fractional coordinates):
Ce: 0.1161 0.1161 0.4555
Ce: 0.2568 0.2568 0.1447
Ce: 0.3816 0.3816 0.7168
Ce: 0.6184 0.6184 0.2832
Ce: 0.7432 0.7432 0.8553
Ce: 0.8839 0.8839 0.5445
Ir: 0.5000 0.5000 0.5000
Pt: 0.0000 0.0000 0.0000